Record 1
MgTiS2: optimized geometry, PBE.

The energy relative to the elements, uncorrected comes out at -1057 meV per atom. The calculation puts the density of states at the Fermi level at 6.338 states/eV per cell. For the total energy, the calculation gives -5.4933 eV/atom. As for the magnetization: 0.000 μB per cell.

The structure belongs to space group R-3m (No. 166, hexagonal axes); the cell edges are 3.4051, 3.4051 and 24.1587 Å and the angles 90.00°, 90.00° and 120.00°. The distinct sites, in fractional coordinates, are Mg at (0.0000, 0.0000, 0.0000), Ti at (0.0000, 0.0000, 0.5000) and S at (0.0000, 0.0000, 0.1066).

=====

Record 2
CoTeRh2Pb: optimized geometry, PBE.

The energy relative to the elements, uncorrected comes out at 1256 meV per atom. The calculation puts the density of states at the Fermi level at 7.745 states/eV per cell. For the total energy, the calculation gives -4.4755 eV/atom. As for the magnetization: 1.813 μB per cell.

The structure belongs to space group P4/mmm (No. 123); the cell edges are 5.009, 5.009 and 4.753 Å and the angles 90.00°, 90.00° and 90.00°. The distinct sites, in fractional coordinates, are Co at (0.000, 0.000, 0.000), Te at (0.500, 0.500, 0.000), Rh at (0.000, 0.500, 0.500) and Pb at (0.000, 0.000, 0.500).

=====

Record 3
GeP3Cl: optimized geometry, PBE.

The energy relative to the elements, uncorrected comes out at 1069 meV per atom. The calculation puts the density of states at the Fermi level at 2.338 states/eV per cell. For the total energy, the calculation gives -3.4693 eV/atom. As for the energy above the most stable polymorph in this dataset: 0.000 eV/atom. As for the magnetization: 0.000 μB per cell.

The structure belongs to space group Pm-3m (No. 221); the cell edges are 4.764, 4.764 and 4.764 Å and the angles 90.00°, 90.00° and 90.00°. The distinct sites, in fractional coordinates, are Ge at (0.000, 0.000, 0.000), P at (0.000, 0.000, 0.500) and Cl at (0.500, 0.500, 0.500).

=====

Record 4
Ti2CoHgSb: optimized geometry, PBE.

The energy relative to the elements, uncorrected comes out at 1458 meV per atom. The calculation puts the density of states at the Fermi level at 8.709 states/eV per cell. For the total energy, the calculation gives -4.0056 eV/atom. As for the magnetization: 1.721 μB per cell.

The structure belongs to space group P4/mmm (No. 123); the cell edges are 5.048, 5.048 and 5.243 Å and the angles 90.00°, 90.00° and 90.00°. The distinct sites, in fractional coordinates, are Ti at (0.000, 0.500, 0.000), Co at (0.000, 0.000, 0.500), Hg at (0.500, 0.500, 0.500) and Sb at (0.500, 0.500, 0.000).

=====

Record 5
Cs3VGe: optimized geometry, PBE.

The calculation puts the density of states at the Fermi level at 3.735 states/eV per cell. The formation energy comes out at 1.107 eV/atom. For the total energy, the calculation gives -2.1523 eV/atom. As for the magnetization: 7.551 μB per cell.

The structure belongs to space group Pm-3m (No. 221); the cell edges are 6.484, 6.484 and 6.484 Å and the angles 90.00°, 90.00° and 90.00°. The distinct sites, in fractional coordinates, are Cs at (0.000, 0.000, 0.500), V at (0.000, 0.000, 0.000) and Ge at (0.500, 0.500, 0.500).

=====

Record 6
LiSmPu2Au4: optimized geometry, PBE.

The calculation puts the density of states at the Fermi level at 81.155 states/eV per cell. The formation energy comes out at -0.472 eV/atom. For the total energy, the calculation gives -6.5225 eV/atom. As for the magnetization: 34.911 μB per cell.

The structure belongs to space group R-3m (No. 166, hexagonal axes); the cell edges are 5.0897, 5.0897 and 24.8741 Å and the angles 90.00°, 90.00° and 120.00°. The distinct sites, in fractional coordinates, are Li at (0.0000, 0.0000, 0.0000), Sm at (0.0000, 0.0000, 0.5000), Pu at (0.0000, 0.0000, 0.2547), Au at (0.0000, 0.0000, 0.1242) and Au at (0.0000, 0.0000, 0.3765).

=====

magnetization of number 4 (Ti2CoHgSb)?
1.721 μB per cell

=====

Which value of magnetization does entry 2 give?
1.813 μB per cell

=====

Number 1 is which compound?
MgTiS2